# 1
{"formula": "LiSbH", "functional": "GGA-PBE", "state": "relaxed", "lattice_angstrom": [[4.1543, 1.4959, 2.1837], [1.5625, 10.4274, 3.8060], [6.6790, 10.8709, 8.8895]], "species": ["Li", "Li", "Sb", "Sb", "H", "H"], "frac_coords": [[0.0326, 0.7869, 0.3007], [0.5139, 0.4973, 0.3707], [0.4264, 0.3557, 0.2367], [0.1193, 0.9281, 0.4352], [0.9126, 0.4602, 0.6281], [0.6337, 0.8239, 0.0434]], "e_tot_ev_per_atom": -3.191, "magnetic_moment_mub_per_fu": 0.00}


# 2
{"formula": "LiSbH", "functional": "GGA-PBE", "state": "relaxed", "lattice_angstrom": [[3.8863, 0.0000, 0.0000], [0.0000, 3.8863, 0.0000], [-1.9432, -1.9432, 4.3082]], "species": ["Sb", "H", "Li"], "frac_coords": [[0.7420, 0.7420, 0.4839], [0.9437, 0.9437, 0.8874], [0.1643, 0.1643, 0.3287]], "e_tot_ev_per_atom": -3.124, "magnetic_moment_mub_per_fu": 0.00}


# 3
{"formula": "LiSc2SbH", "functional": "GGA-PBE", "state": "relaxed", "lattice_angstrom": [[-0.0256, 1.2759, 4.1918], [0.9431, -4.0920, 1.2513], [4.2131, 0.8955, -0.2469]], "species": ["Sc", "Sc", "Sb", "H", "Li"], "frac_coords": [[0.0000, 0.5000, 0.0000], [0.5000, 0.0000, 0.0000], [0.5000, 0.5000, 0.5000], [0.0000, 0.0000, 0.0000], [0.0000, 0.0000, 0.5000]], "e_tot_ev_per_atom": -4.975, "magnetic_moment_mub_per_fu": 1.22}